## i
VASP calculation (GGA-PBE) on a geometry-optimized Tb2PuZn structure.

Output
V, Å³ per cell: 105.04

a b c (Å): 5.2961 5.2961 5.2961
angles (deg): 60.00 60.00 60.00
With the nearest neighbours (Å) after each atom.
Fractional coordinates of all 4 atoms:
Tb 0.2500 0.2500 0.2500  4 Zn 3.24, 4 Pu 3.24
Tb 0.7500 0.7500 0.7500  4 Zn 3.24, 4 Pu 3.24
Pu 0.0000 0.0000 0.0000  8 Tb 3.24
Zn 0.5000 0.5000 0.5000  8 Tb 3.24

## ii
VASP calculation (GGA-PBE) on a geometry-optimized Tb2PuZn structure.

Output
V, Å³ per cell: 113.46

a b c (Å): 11.4358 11.4358 11.4358
angles (deg): 17.15 17.15 17.15
With the nearest neighbours (Å) after each atom.
Fractional coordinates of all 4 atoms:
Tb 0.0987 0.0987 0.0987  3 Zn 3.02, 1 Pu 3.34
Tb 0.9013 0.9013 0.9013  3 Zn 3.02, 1 Pu 3.34
Pu 0.0000 0.0000 0.0000  2 Tb 3.34, 6 Pu 3.41
Zn 0.5000 0.5000 0.5000  6 Tb 3.02

The relative energies come out as i 0; ii 98, with values in meV per atom.

## i
VASP calculation (GGA-PBE) on a geometry-optimized Tb2PuZr structure.

Output
V, Å³ per cell: 113.25

a b c (Å): 3.4306 3.4306 11.2881
angles (deg): 98.75 98.75 59.98
With the nearest neighbours (Å) after each atom.
Fractional coordinates of all 4 atoms:
Tb 0.0000 0.0000 0.0000  3 Zr 3.30-3.31, 6 Tb 3.43, 3 Pu 3.51-3.52
Tb 0.1599 0.1599 0.4792  3 Zr 3.33, 6 Tb 3.43, 3 Pu 3.50
Pu 0.5806 0.5806 0.7385  6 Pu 3.43, 6 Tb 3.50-3.52
Zr 0.7469 0.7469 0.2383  6 Tb 3.30-3.33, 6 Zr 3.43

## ii
VASP calculation (GGA-PBE) on a geometry-optimized Tb2PuZr structure.

Output
V, Å³ per cell: 112.69

a b c (Å): 12.0463 12.0463 12.0463
angles (deg): 15.78 15.78 15.78
With the nearest neighbours (Å) after each atom.
Fractional coordinates of all 4 atoms:
Tb 0.0876 0.0876 0.0876  1 Zr 3.13, 6 Tb 3.31, 3 Pu 3.41
Tb 0.9124 0.9124 0.9124  1 Zr 3.13, 6 Tb 3.31, 3 Pu 3.41
Pu 0.5000 0.5000 0.5000  6 Pu 3.31, 6 Tb 3.41
Zr 0.0000 0.0000 0.0000  2 Tb 3.13, 6 Zr 3.31

## iii
VASP calculation (GGA-PBE) on a geometry-optimized Tb2PuZr structure.

Output
V, Å³ per cell: 111.19

a b c (Å): 4.7958 4.7958 4.8345
angles (deg): 90.00 90.00 90.00
With the nearest neighbours (Å) after each atom.
Fractional coordinates of all 4 atoms:
Tb 0.0000 0.5000 0.0000  4 Tb 3.39, 4 Zr 3.40, 4 Pu 3.40
Tb 0.5000 0.0000 0.0000  4 Tb 3.39, 4 Zr 3.40, 4 Pu 3.40
Pu 0.0000 0.0000 0.5000  4 Zr 3.39, 8 Tb 3.40
Zr 0.5000 0.5000 0.5000  4 Pu 3.39, 8 Tb 3.40

The relative energies come out as i 0; ii 202; iii 27, with values in meV per atom.

## i
VASP calculation (GGA-PBE) on a geometry-optimized TbPu2Zr structure.

Output
V, Å³ per cell: 105.73

a b c (Å): 3.2939 3.2939 9.7448
angles (deg): 90.00 90.00 90.00
With the nearest neighbours (Å) after each atom.
Fractional coordinates of all 4 atoms:
Tb 0.0000 0.0000 0.0000  4 Tb 3.29, 8 Pu 3.50
Pu 0.5000 0.5000 0.2674  4 Zr 3.25, 4 Pu 3.29, 4 Tb 3.50
Pu 0.5000 0.5000 0.7326  4 Zr 3.25, 4 Pu 3.29, 4 Tb 3.50
Zr 0.0000 0.0000 0.5000  8 Pu 3.25, 4 Zr 3.29

## ii
VASP calculation (GGA-PBE) on a geometry-optimized TbPu2Zr structure.

Output
V, Å³ per cell: 104.77

a b c (Å): 4.6665 4.6665 4.8113
angles (deg): 90.00 90.00 90.00
With the nearest neighbours (Å) after each atom.
Fractional coordinates of all 4 atoms:
Tb 0.0000 0.0000 0.0000  4 Zr 3.30, 8 Pu 3.35
Pu 0.0000 0.5000 0.5000  4 Pu 3.30, 4 Zr 3.35, 4 Tb 3.35
Pu 0.5000 0.0000 0.5000  4 Pu 3.30, 4 Zr 3.35, 4 Tb 3.35
Zr 0.5000 0.5000 0.0000  4 Tb 3.30, 8 Pu 3.35

The relative energies come out as i 0; ii 38, with values in meV per atom.

## i
VASP calculation (GGA-PBE) on a geometry-optimized TbPuZr structure.

Output
V, Å³ per cell: 80.06

a b c (Å): 7.5422 7.5422 7.5422
angles (deg): 154.39 154.39 36.54
With the nearest neighbours (Å) after each atom.
Fractional coordinates of all 3 atoms:
Tb 0.0000 0.0000 0.0000  4 Tb 3.34, 4 Zr 3.37, 4 Pu 3.50
Pu 0.6803 0.6803 0.0000  4 Zr 3.22, 4 Pu 3.34, 4 Tb 3.50
Zr 0.3327 0.3327 0.0000  4 Pu 3.22, 4 Zr 3.34, 4 Tb 3.37

## ii
VASP calculation (GGA-PBE) on a geometry-optimized TbPuZr structure.

Output
V, Å³ per cell: 78.84

a b c (Å): 5.2984 5.2984 3.2428
angles (deg): 90.00 90.00 120.00
With the nearest neighbours (Å) after each atom.
Fractional coordinates of all 3 atoms:
Tb 0.0000 0.0000 0.0000  2 Tb 3.24, 6 Zr 3.46, 6 Pu 3.46
Pu 0.6667 0.3333 0.5000  3 Zr 3.06, 2 Pu 3.24
Zr 0.3333 0.6667 0.5000  3 Pu 3.06, 2 Zr 3.24

The relative energies come out as i 0; ii 43, with values in meV per atom.

## i
VASP calculation (GGA-PBE) on a geometry-optimized PuTc2 structure.

Output
V, Å³ per cell: 53.57

a b c (Å): 4.7015 4.7015 4.7015
angles (deg): 133.60 133.60 67.71
With the nearest neighbours (Å) after each atom.
Fractional coordinates of all 3 atoms:
Pu 0.0000 0.0000 0.0000  2 Tc 2.41
Tc 0.3091 0.3091 0.0000  1 Pu 2.41
Tc 0.6909 0.6909 0.0000  1 Pu 2.41

## ii
VASP calculation (GGA-PBE) on a geometry-optimized PuTc2 structure.

Output
V, Å³ per cell: 217.11

a b c (Å): 5.4940 5.4940 8.3059
angles (deg): 90.00 90.00 120.00
With the nearest neighbours (Å) after each atom.
Fractional coordinates of all 12 atoms:
Pu 0.3333 0.6667 0.0710  1 Pu 2.97, 12 Tc 3.08-3.23
Pu 0.3333 0.6667 0.4290  1 Pu 2.97, 12 Tc 3.08-3.23
Pu 0.6667 0.3333 0.5710  1 Pu 2.97, 12 Tc 3.08-3.23
Pu 0.6667 0.3333 0.9290  1 Pu 2.97, 12 Tc 3.08-3.23
Tc 0.0000 0.0000 0.0000  6 Tc 2.64
Tc 0.0000 0.0000 0.5000  6 Tc 2.64
Tc 0.1711 0.3422 0.7500  6 Tc 2.64-2.82
Tc 0.1711 0.8289 0.7500  6 Tc 2.64-2.82
Tc 0.3422 0.1711 0.2500  6 Tc 2.64-2.82
Tc 0.6578 0.8289 0.7500  6 Tc 2.64-2.82
Tc 0.8289 0.1711 0.2500  6 Tc 2.64-2.82
Tc 0.8289 0.6578 0.2500  6 Tc 2.64-2.82

The relative energies come out as i 197; ii 0, with values in meV per atom.

## i
VASP calculation (GGA-PBE) on a geometry-optimized Pu2ThTc structure.

Output
V, Å³ per cell: 92.50

a b c (Å): 5.9006 5.9006 5.9006
angles (deg): 44.71 44.71 44.71
With the nearest neighbours (Å) after each atom.
Fractional coordinates of all 4 atoms:
Pu 0.1807 0.1807 0.1807  3 Tc 2.60, 3 Pu 2.63, 1 Th 2.87
Pu 0.8193 0.8193 0.8193  3 Tc 2.60, 3 Pu 2.63, 1 Th 2.87
Th 0.0000 0.0000 0.0000  2 Pu 2.87
Tc 0.5000 0.5000 0.5000  6 Pu 2.60

## ii
VASP calculation (GGA-PBE) on a geometry-optimized Pu2ThTc structure.

Output
V, Å³ per cell: 92.12

a b c (Å): 3.4653 3.4653 7.6710
angles (deg): 90.00 90.00 90.00
With the nearest neighbours (Å) after each atom.
Fractional coordinates of all 4 atoms:
Pu 0.0000 0.0000 0.2094  4 Tc 2.93, 1 Pu 3.21
Pu 0.0000 0.0000 0.7906  4 Tc 2.93, 1 Pu 3.21
Th 0.5000 0.5000 0.5000  8 Pu 3.31, 4 Th 3.47
Tc 0.5000 0.5000 0.0000  8 Pu 2.93

The relative energies come out as i 459; ii 0, with values in meV per atom.

## i
VASP calculation (GGA-PBE) on a geometry-optimized PuTiTc2 structure.

Output
V, Å³ per cell: 67.17

a b c (Å): 4.5629 4.5629 4.5629
angles (deg): 60.00 60.00 60.00
With the nearest neighbours (Å) after each atom.
Fractional coordinates of all 4 atoms:
Pu 0.0000 0.0000 0.0000  8 Tc 2.79
Ti 0.5000 0.5000 0.5000  8 Tc 2.79
Tc 0.2500 0.2500 0.2500  4 Ti 2.79, 4 Pu 2.79
Tc 0.7500 0.7500 0.7500  4 Ti 2.79, 4 Pu 2.79

## ii
VASP calculation (GGA-PBE) on a geometry-optimized PuTiTc2 structure.

Output
V, Å³ per cell: 67.14

a b c (Å): 3.2207 3.2207 6.4724
angles (deg): 90.00 90.00 90.00
With the nearest neighbours (Å) after each atom.
Fractional coordinates of all 4 atoms:
Pu 0.0000 0.0000 0.0000  8 Tc 2.84
Ti 0.0000 0.0000 0.5000  8 Tc 2.75
Tc 0.5000 0.5000 0.2617  4 Ti 2.75, 4 Pu 2.84
Tc 0.5000 0.5000 0.7383  4 Ti 2.75, 4 Pu 2.84

The relative energies come out as i 0; ii 42, with values in meV per atom.

## i
VASP calculation (GGA-PBE) on a geometry-optimized Tm2PuTc structure.

Output
V, Å³ per cell: 98.53

a b c (Å): 3.3900 3.3900 8.5742
angles (deg): 90.00 90.00 90.00
With the nearest neighbours (Å) after each atom.
Fractional coordinates of all 4 atoms:
Tm 0.0000 0.0000 0.1906  4 Tc 2.90
Tm 0.0000 0.0000 0.8094  4 Tc 2.90
Pu 0.5000 0.5000 0.5000  4 Pu 3.39, 8 Tm 3.58
Tc 0.5000 0.5000 0.0000  8 Tm 2.90

## ii
VASP calculation (GGA-PBE) on a geometry-optimized Tm2PuTc structure.

Output
V, Å³ per cell: 408.45

a b c (Å): 7.1253 9.2870 6.1725
angles (deg): 90.00 90.00 90.00
With the nearest neighbours (Å) after each atom.
Fractional coordinates of all 16 atoms:
Tm 0.1767 0.0648 0.1686  3 Tc 2.99-3.12
Tm 0.1767 0.4352 0.1686  3 Tc 2.99-3.12
Tm 0.3233 0.5648 0.6686  3 Tc 2.99-3.12
Tm 0.3233 0.9352 0.6686  3 Tc 2.99-3.12
Tm 0.6767 0.0648 0.3314  3 Tc 2.99-3.12
Tm 0.6767 0.4352 0.3314  3 Tc 2.99-3.12
Tm 0.8233 0.5648 0.8314  3 Tc 2.99-3.12
Tm 0.8233 0.9352 0.8314  3 Tc 2.99-3.12
Pu 0.0444 0.2500 0.6481  2 Tc 2.46-2.52
Pu 0.4556 0.7500 0.1481  2 Tc 2.46-2.52
Pu 0.5444 0.2500 0.8519  2 Tc 2.46-2.52
Pu 0.9556 0.7500 0.3519  2 Tc 2.46-2.52
Tc 0.1344 0.7500 0.0002  2 Pu 2.46-2.52
Tc 0.3656 0.2500 0.5002  2 Pu 2.46-2.52
Tc 0.6344 0.7500 0.4998  2 Pu 2.46-2.52
Tc 0.8656 0.2500 0.9998  2 Pu 2.46-2.52

## iii
VASP calculation (GGA-PBE) on a geometry-optimized Tm2PuTc structure.

Output
V, Å³ per cell: 91.18

a b c (Å): 5.0521 5.0521 5.0521
angles (deg): 60.00 60.00 60.00
With the nearest neighbours (Å) after each atom.
Fractional coordinates of all 4 atoms:
Tm 0.2500 0.2500 0.2500  4 Tc 3.09, 4 Pu 3.09
Tm 0.7500 0.7500 0.7500  4 Pu 3.09, 4 Tc 3.09
Pu 0.0000 0.0000 0.0000  8 Tm 3.09
Tc 0.5000 0.5000 0.5000  8 Tm 3.09

The relative energies come out as i 153; ii 0; iii 344, with values in meV per atom.